Entry 1:
## Re2AuBr (PBE)

Data for Re2AuBr after structural relaxation.

The space group is Cmmm (No. 65) and the conventional cell measures 6.155, 7.659 and 2.823 Å, with angles of 90.00, 90.00 and 90.00 degrees. The distinct sites, in fractional coordinates, are Re at (0.250, 0.250, 0.000), Au at (0.000, 0.000, 0.500) and Br at (0.000, 0.500, 0.500).

The uncorrected formation energy is 1412 meV/atom. For the spin magnetization, the calculation gives 0.00 μB/f.u.


Entry 2:
## TaTi2Fe4 (PBE)

Data for TaTi2Fe4 after structural relaxation.

The space group is I4/mmm (No. 139) and the conventional cell measures 4.161, 4.161 and 11.398 Å, with angles of 90.00, 90.00 and 90.00 degrees. The distinct sites, in fractional coordinates, are Ta at (0.000, 0.000, 0.000), Ti at (0.000, 0.000, 0.263) and Fe at (0.000, 0.500, 0.124).

The energy relative to the elements comes out at 0.889 eV/f.u. For the spin magnetization, the calculation gives 1.70 μB/f.u.


Entry 3:
## La3Pm2NdS6 (PBE)

Data for La3Pm2NdS6 after structural relaxation.

The space group is C2/m (No. 12) and the conventional cell measures 7.096, 12.313 and 7.099 Å, with angles of 90.00, 109.54 and 90.00 degrees. The distinct sites, in fractional coordinates, are La at (0.000, 0.000, 0.000), La at (0.000, 0.334, 0.000), Pm at (0.000, 0.167, 0.500), Nd at (0.000, 0.500, 0.500), S at (0.246, 0.000, 0.742) and S at (0.248, 0.332, 0.743).

The uncorrected formation energy is -2107 meV/atom. For the spin magnetization, the calculation gives 0.00 μB/f.u.


Entry 4:
## Pr2Al6Rh (PBE)

Data for Pr2Al6Rh after structural relaxation.

The space group is P-3m1 (No. 164) and the conventional cell measures 6.0679, 6.0679 and 5.6906 Å, with angles of 90.00, 90.00 and 120.00 degrees. The distinct sites, in fractional coordinates, are Pr at (0.3333, 0.6667, 0.1774), Al at (0.1703, 0.3406, 0.6880) and Rh at (0.0000, 0.0000, 0.0000).

The energy relative to the elements comes out at -4.813 eV/f.u. For the spin magnetization, the calculation gives 0.00 μB/f.u.


Entry 5:
## Sc5Al2Ga (PBE)

Data for Sc5Al2Ga after structural relaxation.

The space group is I4/mcm (No. 140) and the conventional cell measures 7.544, 7.544 and 11.895 Å, with angles of 90.00, 90.00 and 90.00 degrees. The distinct sites, in fractional coordinates, are Sc at (0.000, 0.000, 0.000), Sc at (0.159, 0.341, 0.154), Al at (0.135, 0.365, 0.500) and Ga at (0.000, 0.000, 0.250).

The energy relative to the elements comes out at -2.988 eV/f.u. For the spin magnetization, the calculation gives 0.00 μB/f.u.


Entry 6:
## Co7Ni2Rh2 (PBE)

Data for Co7Ni2Rh2 after structural relaxation.

The space group is C2/m (No. 12) and the conventional cell measures 8.013, 5.877 and 6.047 Å, with angles of 90.00, 106.39 and 90.00 degrees. The distinct sites, in fractional coordinates, are Co at (0.000, 0.000, 0.000), Co at (0.229, 0.297, 0.177), Co at (0.241, 0.500, 0.538), Ni at (0.000, 0.201, 0.500) and Rh at (0.049, 0.500, 0.809).

The energy relative to the elements comes out at 2.857 eV/f.u. For the spin magnetization, the calculation gives 15.42 μB/f.u.


Entry 7:
## CsKAuBr (PBE)

Data for CsKAuBr after structural relaxation.

The space group is R3m (No. 160, hexagonal axes) and the conventional cell measures 4.8728, 4.8728 and 25.6572 Å, with angles of 90.00, 90.00 and 120.00 degrees. The distinct sites, in fractional coordinates, are Cs at (0.0000, 0.0000, 0.0000), K at (0.0000, 0.0000, 0.8285), Au at (0.0000, 0.0000, 0.2415) and Br at (0.0000, 0.0000, 0.4230).

The uncorrected formation energy is -1002 meV/atom. For the spin magnetization, the calculation gives 0.00 μB/f.u.


Entry 8:
## V2SiH (PBE)

Data for V2SiH after structural relaxation.

The space group is P2_1/c (No. 14) and the conventional cell measures 6.791, 4.635 and 5.437 Å, with angles of 90.00, 95.32 and 90.00 degrees. The distinct sites, in fractional coordinates, are V at (0.085, 0.232, 0.344), V at (0.293, 0.646, 0.498), Si at (0.405, 0.141, 0.650) and H at (0.156, 0.635, 0.768).

For the spin magnetization, the calculation gives 0.00 μB/f.u. As for the final energy: -7.003 eV/atom.